First-principles (GGA-PBE) data for a relaxed TbEr2Sc6 crystal, as listed in Alexandria.

The structure in CIF format:
```
data_TbEr2Sc6
_symmetry_space_group_name_H-M 'P 1'
_symmetry_Int_Tables_number 1
_symmetry_space_group_name_Hall 'P 1'
_cell_length_a 3.333
_cell_length_b 3.333
_cell_length_c 25.420
_cell_angle_alpha 90.00
_cell_angle_beta 90.00
_cell_angle_gamma 120.00
loop_
_atom_site_label
_atom_site_fract_x
_atom_site_fract_y
_atom_site_fract_z
Sc1 0.333 0.667 0.126
Er1 0.667 0.333 0.768
Er2 0.667 0.333 0.232
Sc2 0.333 0.667 0.874
Sc3 0.333 0.667 0.340
Sc4 0.667 0.333 0.560
Sc5 0.333 0.667 0.660
Sc6 0.667 0.333 0.440
Tb1 0.333 0.667 0.000
```

Computed properties:
The calculation puts the calculated total energy at -50.376 eV per formula unit. The density of states at the Fermi level is 15.69 states/eV/f.u. The density is 5183 kg/m³. As for the total magnetization: 3.5 μB/f.u. The calculation puts the formation energy at 152 meV per atom.